# 1
# LaBeRe3

A relaxed LaBeRe3 crystal (PBEsol, Alexandria).

The structure belongs to space group Pm-3m (No. 221); the cell edges are 4.3508, 4.3508 and 4.3508 Å and the angles 90.00°, 90.00° and 90.00°. The asymmetric unit holds La at (0.0000, 0.0000, 0.0000), Be at (0.5000, 0.5000, 0.5000) and Re at (0.0000, 0.5000, 0.5000).

For the size of the total moment, the calculation gives 0.00 μB/cell. For the volume, the calculation gives 16.47 A^3/atom. The formation enthalpy at 0 K is 0.890 eV per atom.

---

# 2
# In2Pd2Au

A relaxed In2Pd2Au crystal (PBEsol, Alexandria).

The structure belongs to space group P4/mbm (No. 127); the cell edges are 7.5539, 7.5539 and 3.1145 Å and the angles 90.00°, 90.00° and 90.00°. The asymmetric unit holds In at (0.1546, 0.3454, 0.0000), Pd at (0.1416, 0.6416, 0.5000) and Au at (0.0000, 0.0000, 0.0000).

For the size of the total moment, the calculation gives 0.00 μB/cell. For the volume, the calculation gives 17.77 A^3/atom. The formation enthalpy at 0 K is -0.337 eV per atom.

---

# 3
# BaCr2P

A relaxed BaCr2P crystal (PBEsol, Alexandria).

The structure belongs to space group P4mm (No. 99); the cell edges are 3.1623, 3.1623 and 7.3469 Å and the angles 90.00°, 90.00° and 90.00°. The asymmetric unit holds Ba at (0.0000, 0.0000, 0.0000), Cr at (0.0000, 0.0000, 0.5163), Cr at (0.5000, 0.5000, 0.3633) and P at (0.5000, 0.5000, 0.6811).

For the size of the total moment, the calculation gives 0.77 μB/cell. For the volume, the calculation gives 18.37 A^3/atom. The formation enthalpy at 0 K is 0.235 eV per atom.

---

# 4
# KHf3H

A relaxed KHf3H crystal (PBEsol, Alexandria).

The structure belongs to space group Pm-3m (No. 221); the cell edges are 4.5596, 4.5596 and 4.5596 Å and the angles 90.00°, 90.00° and 90.00°. The asymmetric unit holds K at (0.0000, 0.0000, 0.0000), Hf at (0.0000, 0.5000, 0.5000) and H at (0.5000, 0.5000, 0.5000).

The calculation puts the total energy at -6.50 eV/atom. For the size of the total moment, the calculation gives 0.00 μB/cell. For the volume, the calculation gives 18.96 A^3/atom.

---

# 5
# Ta2CuSb

A relaxed Ta2CuSb crystal (PBEsol, Alexandria).

The structure belongs to space group Immm (No. 71); the cell edges are 3.5888, 4.3182 and 8.7068 Å and the angles 90.00°, 90.00° and 90.00°. The asymmetric unit holds Ta at (0.0000, 0.0000, 0.2469), Cu at (0.0000, 0.5000, 0.5000) and Sb at (0.0000, 0.5000, 0.0000).

For the size of the total moment, the calculation gives 0.00 μB/cell. For the volume, the calculation gives 16.87 A^3/atom. For the formation energy (no corrections), the calculation gives 0.0893 eV/atom.

---

# 6
# ZrTl2Ir

A relaxed ZrTl2Ir crystal (PBEsol, Alexandria).

The structure belongs to space group Cmmm (No. 65); the cell edges are 5.7638, 9.1897 and 3.0463 Å and the angles 90.00°, 90.00° and 90.00°. The asymmetric unit holds Zr at (0.0000, 0.0000, 0.0000), Tl at (0.2500, 0.2500, 0.5000) and Ir at (0.0000, 0.5000, 0.0000).

For the size of the total moment, the calculation gives 0.00 μB/cell. For the volume, the calculation gives 20.17 A^3/atom. The formation enthalpy at 0 K is 0.292 eV per atom.